VASP calculation (PBE-GGA) on Zn3GaAg2 after structural relaxation.

a b c (Å): 5.7119 9.1106 15.2315
angles (deg): 90.00 90.00 90.00
Space group Fmmm (No. 69)
Symmetry-distinct sites (fractional):
1 Zn 0.0000 0.0000 0.1646 x8
2 Zn 0.0000 0.2483 0.0835 x16
3 Ga 0.0000 0.0000 0.3335 x8
4 Ag 0.2495 0.0000 0.0000 x8
5 Ag 0.2500 0.2500 0.2500 x8

Output
* VASP energy: -2.06 eV per atom
* formation energy from the elements: 0.028 eV/atom
* energy above the most stable polymorph in this dataset: 42.1 meV/atom